Compound: LiLaSmMn
Source: Alexandria
Functional: PBE
Structure: optimized geometry

Values from the calculation:
ΔE_f   0.166 eV per atom
Energy   -20.1 eV per cell
Calculated density   5.78 g cm⁻³
DOS at the Fermi energy   1.17 states/eV/atom
Spin magnetization   2.59 Bohr magnetons per cell

extended XYZ file:
```
4
Lattice="0.000 3.694 3.694 3.694 0.000 3.694 3.694 3.694 0.000" Properties=species:S:1:pos:R:3 pbc="T T T"
Li 0.000 0.000 0.000
La 5.541 5.541 5.541
Sm 1.847 1.847 1.847
Mn 3.694 3.694 3.694
```